VASP calculation (PBE) on crystalline Nd5ErTm at its relaxed geometry. Values from VASP.

The structure in Quantum ESPRESSO input format:
```
&SYSTEM
  ibrav = 0, nat = 14, ntyp = 3
/
ATOMIC_SPECIES
Tm 168.93 Tm.upf
Nd 144.24 Nd.upf
Er 167.26 Er.upf
CELL_PARAMETERS angstrom
-1.1881 -3.5374 4.9184
7.0018 0.7392 6.0979
-4.4907 5.8390 5.3501
ATOMIC_POSITIONS crystal
Tm 0.4886 0.0227 0.2500
Nd 0.8603 0.2793 0.7500
Nd 0.5400 0.6989 0.4650
Nd 0.0156 0.3706 0.3542
Er 0.0000 0.0000 0.5000
Er 0.0000 0.0000 0.0000
Tm 0.5114 0.9773 0.7500
Nd 0.9844 0.6294 0.6458
Nd 0.6138 0.3706 0.1458
Nd 0.7610 0.6989 0.0350
Nd 0.2390 0.3011 0.9650
Nd 0.1397 0.7207 0.2500
Nd 0.4600 0.3011 0.5350
Nd 0.3862 0.6294 0.8542
```

Calculated values
DFT formation energy (eV per atom): 0.18
Calculated volume (Å³ per atom): 34.6

VASP calculation (PBE) on crystalline Na2Pa2MnSe6 at its relaxed geometry. Values from VASP.

The structure in Quantum ESPRESSO input format:
```
&SYSTEM
  ibrav = 0, nat = 11, ntyp = 4
/
ATOMIC_SPECIES
Se 78.96 Se.upf
Na 22.99 Na.upf
Mn 54.94 Mn.upf
Pa 231.04 Pa.upf
CELL_PARAMETERS angstrom
7.0100 -0.0256 0.0857
-3.4869 6.0812 0.0857
-1.2293 -2.1130 7.0809
ATOMIC_POSITIONS crystal
Se 0.0711 0.4034 0.7225
Se 0.2431 0.2431 0.2763
Na 0.8329 0.1671 0.0000
Se 0.9289 0.5966 0.2775
Mn 0.0000 0.0000 0.5000
Se 0.5966 0.9289 0.2775
Pa 0.6627 0.3373 0.5000
Se 0.7569 0.7569 0.7237
Se 0.4034 0.0711 0.7225
Pa 0.3373 0.6627 0.5000
Na 0.1671 0.8329 0.0000
```

Calculated values
Formation energy from raw total energies (meV/atom): -1150
Calculated volume (Å³ per atom): 27.6

VASP calculation (PBE) on crystalline RbP2O2 at its relaxed geometry. Values from VASP.

The structure in Quantum ESPRESSO input format:
```
&SYSTEM
  ibrav = 0, nat = 5, ntyp = 3
/
ATOMIC_SPECIES
O 16.00 O.upf
Rb 85.47 Rb.upf
P 30.97 P.upf
CELL_PARAMETERS angstrom
-3.2014 -0.3738 2.3581
-1.5680 -2.6453 -2.5481
2.0515 -3.3825 2.2491
ATOMIC_POSITIONS crystal
O 0.0000 0.5000 0.0000
Rb 0.5000 0.5000 0.5000
O 0.5000 0.0000 0.0000
P 0.0000 0.0000 0.0000
P 0.0000 0.0000 0.5000
```

Calculated values
Distance to the lowest polymorph of the same formula (kJ/mol of formula units): 0.0
Formation energy from raw total energies (meV/atom): -102
Calculated volume (Å³ per atom): 14.5

VASP calculation (PBE) on crystalline SnRh6O12 at its relaxed geometry. Values from VASP.

The structure in Quantum ESPRESSO input format:
```
&SYSTEM
  ibrav = 0, nat = 19, ntyp = 3
/
ATOMIC_SPECIES
Rh 102.91 Rh.upf
O 16.00 O.upf
Sn 118.71 Sn.upf
CELL_PARAMETERS angstrom
6.0760 -0.0437 -0.0523
-0.9643 5.9992 -0.0523
-0.9643 -1.1235 5.8933
ATOMIC_POSITIONS crystal
Rh 0.6923 0.8577 0.4170
O 0.5823 0.1798 0.4282
O 0.9160 0.0563 0.6734
O 0.1798 0.4282 0.5823
Rh 0.1423 0.5830 0.3077
O 0.0840 0.9437 0.3266
Rh 0.5830 0.3077 0.1423
O 0.9437 0.3266 0.0840
Rh 0.4170 0.6923 0.8577
O 0.3266 0.0840 0.9437
O 0.0563 0.6734 0.9160
Rh 0.8577 0.4170 0.6923
O 0.5718 0.4177 0.8202
Rh 0.3077 0.1423 0.5830
O 0.4177 0.8202 0.5718
O 0.6734 0.9160 0.0563
Sn 0.0000 0.0000 0.0000
O 0.8202 0.5718 0.4177
O 0.4282 0.5823 0.1798
```

Calculated values
Formation energy from raw total energies (meV/atom): -579
Calculated volume (Å³ per atom): 11.3

VASP calculation (PBE) on crystalline PuUPa3 at its relaxed geometry. Values from VASP.

The structure in Quantum ESPRESSO input format:
```
&SYSTEM
  ibrav = 0, nat = 10, ntyp = 3
/
ATOMIC_SPECIES
Pu 244.00 Pu.upf
Pa 231.04 Pa.upf
U 238.03 U.upf
CELL_PARAMETERS angstrom
5.2469 0.0000 0.0000
0.0000 6.0070 1.2059
-2.6234 0.0059 7.4421
ATOMIC_POSITIONS crystal
Pu 0.2006 0.8598 0.4012
Pa 0.9996 0.7596 0.9992
Pa 0.8040 0.5850 0.6080
U 0.5922 0.4281 0.1843
Pa 0.6063 0.9858 0.2125
U 0.4078 0.5719 0.8157
Pa 0.1960 0.4150 0.3920
Pu 0.7994 0.1402 0.5988
Pa 0.0004 0.2404 0.0008
Pa 0.3937 0.0142 0.7875
```

Calculated values
DFT formation energy (eV per atom): 0.11
Calculated volume (Å³ per atom): 23.5

VASP calculation (PBE) on crystalline AlCdAs2 at its relaxed geometry. Values from VASP.

The structure in Quantum ESPRESSO input format:
```
&SYSTEM
  ibrav = 0, nat = 4, ntyp = 3
/
ATOMIC_SPECIES
Al 26.98 Al.upf
As 74.92 As.upf
Cd 112.41 Cd.upf
CELL_PARAMETERS angstrom
-1.4555 -3.4287 -0.7426
2.3909 -1.2321 1.0026
-3.7778 0.1357 6.7781
ATOMIC_POSITIONS crystal
Al 0.5000 0.7500 0.7500
As 0.0000 0.5060 0.5267
As 0.0000 0.9940 0.9733
Cd 0.5000 0.2500 0.2500
```

Calculated values
DFT formation energy (eV per atom): 0.06
Distance to the lowest polymorph of the same formula (kJ/mol of formula units): 75.5
Calculated volume (Å³ per atom): 21.0

VASP calculation (PBE) on crystalline B3AuO at its relaxed geometry. Values from VASP.

The structure in Quantum ESPRESSO input format:
```
&SYSTEM
  ibrav = 0, nat = 5, ntyp = 3
/
ATOMIC_SPECIES
B 10.81 B.upf
O 16.00 O.upf
Au 196.97 Au.upf
CELL_PARAMETERS angstrom
3.6496 0.0000 0.0000
0.0000 3.6496 0.0000
0.0000 0.0000 3.6496
ATOMIC_POSITIONS crystal
B 0.0000 0.0000 0.5000
B 0.5000 0.0000 0.0000
B 0.0000 0.5000 0.0000
O 0.0000 0.0000 0.0000
Au 0.5000 0.5000 0.5000
```

Calculated values
Distance to the lowest polymorph of the same formula (kJ/mol of formula units): 0.0
Formation energy from raw total energies (meV/atom): 1591
Calculated volume (Å³ per atom): 9.7

VASP calculation (PBE) on crystalline MnNbMo at its relaxed geometry. Values from VASP.

The structure in Quantum ESPRESSO input format:
```
&SYSTEM
  ibrav = 0, nat = 12, ntyp = 3
/
ATOMIC_SPECIES
Mn 54.94 Mn.upf
Nb 92.91 Nb.upf
Mo 95.94 Mo.upf
CELL_PARAMETERS angstrom
7.1284 0.0000 0.0000
0.0000 6.0365 -0.0035
0.0000 -1.7423 4.2575
ATOMIC_POSITIONS crystal
Mn 0.9190 0.3290 0.4152
Nb 0.3730 0.9646 0.7326
Mo 0.1567 0.3805 0.9396
Mn 0.4190 0.6710 0.0848
Nb 0.6270 0.0354 0.2674
Mo 0.8433 0.6195 0.0604
Mn 0.0810 0.6710 0.5848
Mo 0.6567 0.6195 0.5604
Mn 0.5810 0.3290 0.9152
Mo 0.3433 0.3805 0.4396
Nb 0.1270 0.9646 0.2326
Nb 0.8730 0.0354 0.7674
```

Calculated values
DFT formation energy (eV per atom): 0.17
Distance to the lowest polymorph of the same formula (kJ/mol of formula units): 35.3
Calculated volume (Å³ per atom): 15.3

VASP calculation (PBE) on crystalline PrU2PaAs4 at its relaxed geometry. Values from VASP.

The structure in Quantum ESPRESSO input format:
```
&SYSTEM
  ibrav = 0, nat = 8, ntyp = 4
/
ATOMIC_SPECIES
As 74.92 As.upf
U 238.03 U.upf
Pr 140.91 Pr.upf
Pa 231.04 Pa.upf
CELL_PARAMETERS angstrom
4.1036 0.0000 0.0000
0.0000 7.2600 -0.1959
0.0000 2.5030 6.6699
ATOMIC_POSITIONS crystal
As 0.5000 0.7535 0.2552
As 0.0000 0.2408 0.2606
U 0.5000 0.0000 0.5000
As 0.5000 0.2465 0.7448
As 0.0000 0.7592 0.7394
Pr 0.5000 0.5000 0.0000
U 0.0000 0.0000 0.0000
Pa 0.0000 0.5000 0.5000
```

Calculated values
DFT formation energy (eV per atom): -0.98
Calculated volume (Å³ per atom): 25.1

VASP calculation (PBE) on crystalline Y3Tm2Al3 at its relaxed geometry. Values from VASP.

The structure in Quantum ESPRESSO input format:
```
&SYSTEM
  ibrav = 0, nat = 8, ntyp = 3
/
ATOMIC_SPECIES
Y 88.91 Y.upf
Al 26.98 Al.upf
Tm 168.93 Tm.upf
CELL_PARAMETERS angstrom
-0.7153 3.2608 1.4604
-3.5476 -2.1481 3.0587
9.6361 -2.2696 5.2413
ATOMIC_POSITIONS crystal
Y 0.3788 0.3788 0.7576
Y 0.5000 0.0000 0.0000
Al 0.0000 0.5000 0.0000
Al 0.1179 0.1179 0.2358
Y 0.6212 0.6212 0.2424
Tm 0.7313 0.2313 0.4626
Tm 0.2687 0.7687 0.5374
Al 0.8821 0.8821 0.7642
```

Calculated values
DFT formation energy (eV per atom): -0.32
Calculated volume (Å³ per atom): 25.2

VASP calculation (PBE) on crystalline SrAlCu6 at its relaxed geometry. Values from VASP.

The structure in Quantum ESPRESSO input format:
```
&SYSTEM
  ibrav = 0, nat = 8, ntyp = 3
/
ATOMIC_SPECIES
Al 26.98 Al.upf
Sr 87.62 Sr.upf
Cu 63.55 Cu.upf
CELL_PARAMETERS angstrom
0.9074 -4.0341 0.9763
5.4033 -1.7358 -3.1730
6.0906 -0.2699 2.2635
ATOMIC_POSITIONS crystal
Al 0.5000 0.5000 0.5000
Sr 0.0000 0.0000 0.0000
Cu 0.6951 0.0796 0.5316
Cu 0.6950 0.5327 0.0790
Cu 0.3049 0.9204 0.4684
Cu 0.8735 0.6261 0.6265
Cu 0.3050 0.4673 0.9210
Cu 0.1265 0.3739 0.3735
```

Calculated values
DFT formation energy (eV per atom): -0.09
Calculated volume (Å³ per atom): 16.5

VASP calculation (PBE) on crystalline GaCu2Pd at its relaxed geometry. Values from VASP.

The structure in Quantum ESPRESSO input format:
```
&SYSTEM
  ibrav = 0, nat = 4, ntyp = 3
/
ATOMIC_SPECIES
Pd 106.42 Pd.upf
Cu 63.55 Cu.upf
Ga 69.72 Ga.upf
CELL_PARAMETERS angstrom
-2.7825 -1.3687 0.7510
0.8862 -0.1214 3.0626
-2.1755 4.8740 0.8227
ATOMIC_POSITIONS crystal
Pd 0.5000 0.5000 0.5000
Cu 0.0000 0.0000 0.7572
Cu 0.0000 0.0000 0.2428
Ga 0.5000 0.5000 0.0000
```

Calculated values
DFT formation energy (eV per atom): -0.17
Calculated volume (Å³ per atom): 13.7

Raw total energy in eV/atom, matching the order above: -4.518, -5.851, -4.443, -6.243, -10.715, -3.431, -4.062, -9.851, -7.915, -5.266, -3.836, -4.277